[1]
DFT (PBE) results for crystalline LiNdAs at its relaxed geometry.

Cell lengths 4.2179, 4.2179, 7.1969 Å; angles 90.00, 90.00, 90.00 degrees
Closest atoms and distances in Å follow each position.
Fractional positions:
Li 0.2500 0.7500 0.0000  4 As 2.68, 4 Li 2.98
Li 0.7500 0.2500 0.0000  4 As 2.68, 4 Li 2.98
Nd 0.2500 0.2500 0.3413  5 As 3.09, 4 Li 3.24
Nd 0.7500 0.7500 0.6587  5 As 3.09, 4 Li 3.24
As 0.2500 0.2500 0.7700  4 Li 2.68
As 0.7500 0.7500 0.2300  4 Li 2.68

## Properties
As for the energy of formation from the pure elements: -1.026 eV per atom.

[2]
DFT (PBE) results for crystalline Li2Nd3As3 at its relaxed geometry.

Cell lengths 6.1985, 6.1985, 14.6333 Å; angles 90.00, 90.00, 140.33 degrees
Closest atoms and distances in Å follow each position.
Fractional positions:
Li 0.2291 0.7709 0.5840  3 As 2.49-2.61
Li 0.2291 0.7709 0.9160  3 As 2.49-2.61
Li 0.7709 0.2291 0.0840  3 As 2.49-2.61
Li 0.7709 0.2291 0.4160  3 As 2.49-2.61
Nd 0.0701 0.9299 0.1097  6 As 3.09-3.21, 3 Li 3.17-3.39
Nd 0.0701 0.9299 0.3903  6 As 3.09-3.21, 3 Li 3.17-3.39
Nd 0.3563 0.6437 0.2500  4 As 2.93-3.17
Nd 0.6437 0.3563 0.7500  4 As 2.93-3.17
Nd 0.9299 0.0701 0.6097  6 As 3.09-3.21, 3 Li 3.17-3.39
Nd 0.9299 0.0701 0.8903  6 As 3.09-3.21, 3 Li 3.17-3.39
As 0.3469 0.6531 0.7500  2 Li 2.79, 4 Nd 3.09
As 0.3765 0.6235 0.0502  3 Li 2.49-2.61
As 0.3765 0.6235 0.4498  3 Li 2.49-2.61
As 0.6235 0.3765 0.5502  3 Li 2.49-2.61
As 0.6235 0.3765 0.9498  3 Li 2.49-2.61
As 0.6531 0.3469 0.2500  2 Li 2.79, 4 Nd 3.09

## Properties
As for the energy of formation from the pure elements: -1.070 eV per atom.

[3]
DFT (PBE) results for crystalline LiNdAs at its relaxed geometry.

Cell lengths 4.2956, 4.2956, 7.9452 Å; angles 90.00, 90.00, 120.00 degrees
Closest atoms and distances in Å follow each position.
Fractional positions:
Li 0.3333 0.6667 0.2500  3 As 2.48
Li 0.6667 0.3333 0.7500  3 As 2.48
Nd 0.0000 0.0000 0.0000  6 As 3.18, 6 Li 3.18
Nd 0.0000 0.0000 0.5000  6 As 3.18, 6 Li 3.18
As 0.3333 0.6667 0.7500  3 Li 2.48
As 0.6667 0.3333 0.2500  3 Li 2.48

## Properties
As for the energy of formation from the pure elements: -1.004 eV per atom.

> Which formula does entry 1 have?

LiNdAs

> Which formula does entry 2 have?

Li2Nd3As3

> What is the energy of formation from the pure elements in the second record?

-1.070 eV per atom

What did the second record say?
DFT (PBE) results for crystalline Li2Nd3As3 at its relaxed geometry.

Cell lengths 6.1985, 6.1985, 14.6333 Å; angles 90.00, 90.00, 140.33 degrees
Closest atoms and distances in Å follow each position.
Fractional positions:
Li 0.2291 0.7709 0.5840  3 As 2.49-2.61
Li 0.2291 0.7709 0.9160  3 As 2.49-2.61
Li 0.7709 0.2291 0.0840  3 As 2.49-2.61
Li 0.7709 0.2291 0.4160  3 As 2.49-2.61
Nd 0.0701 0.9299 0.1097  6 As 3.09-3.21, 3 Li 3.17-3.39
Nd 0.0701 0.9299 0.3903  6 As 3.09-3.21, 3 Li 3.17-3.39
Nd 0.3563 0.6437 0.2500  4 As 2.93-3.17
Nd 0.6437 0.3563 0.7500  4 As 2.93-3.17
Nd 0.9299 0.0701 0.6097  6 As 3.09-3.21, 3 Li 3.17-3.39
Nd 0.9299 0.0701 0.8903  6 As 3.09-3.21, 3 Li 3.17-3.39
As 0.3469 0.6531 0.7500  2 Li 2.79, 4 Nd 3.09
As 0.3765 0.6235 0.0502  3 Li 2.49-2.61
As 0.3765 0.6235 0.4498  3 Li 2.49-2.61
As 0.6235 0.3765 0.5502  3 Li 2.49-2.61
As 0.6235 0.3765 0.9498  3 Li 2.49-2.61
As 0.6531 0.3469 0.2500  2 Li 2.79, 4 Nd 3.09

## Properties
As for the energy of formation from the pure elements: -1.070 eV per atom.